# 1
# CsBaCl2F (PBE, relaxed)
# Calculated volume (Å³/atom): 37.66
# VASP energy (eV per atom): -4.29
# Raw formation energy (eV per atom): -2.626
# SG: P4/mmm (123)
# Theoretical density (g cm⁻³): 3.18
data_CsBaCl2F
_cell_length_a 6.130
_cell_length_b 6.130
_cell_length_c 5.010
_cell_angle_alpha 90.00
_cell_angle_beta 90.00
_cell_angle_gamma 90.00
_space_group_name_H-M_alt 'P 1'
_space_group_IT_number 1
loop_
_space_group_symop_operation_xyz
'x,y,z'
loop_
_atom_site_label
_atom_site_fract_x
_atom_site_fract_y
_atom_site_fract_z
Cl1 0.000 0.500 0.000
Cs1 0.500 0.500 0.500
Ba1 0.000 0.000 0.000
Cl2 0.500 0.000 0.000
F1 0.000 0.000 0.500

# 2
# Cs2BaClF6 (PBE, relaxed)
# Calculated volume (Å³/atom): 24.97
# VASP energy (eV per atom): -3.90
# Raw formation energy (eV per atom): -2.228
# SG: I4/mmm (139)
# Theoretical density (g cm⁻³): 3.67
data_Cs2BaClF6
_cell_length_a 6.515
_cell_length_b 6.515
_cell_length_c 7.473
_cell_angle_alpha 64.16
_cell_angle_beta 64.16
_cell_angle_gamma 90.00
_space_group_name_H-M_alt 'P 1'
_space_group_IT_number 1
loop_
_space_group_symop_operation_xyz
'x,y,z'
loop_
_atom_site_label
_atom_site_fract_x
_atom_site_fract_y
_atom_site_fract_z
F1 0.725 0.275 0.000
F2 0.215 0.215 0.571
Cs1 0.750 0.250 0.500
F3 0.275 0.725 0.000
Cs2 0.250 0.750 0.500
Ba1 0.000 0.000 0.000
F4 0.725 0.725 0.000
F5 0.785 0.785 0.429
F6 0.275 0.275 0.000
Cl1 0.500 0.500 0.000